This record from Alexandria via LeMat-Bulk describes crystalline AlCd2PbO6 at its relaxed geometry. The functional is PBE-GGA.

Geometry as extended XYZ:
```
10
Lattice="2.7647 1.5962 4.7550 -2.7647 1.5962 4.7550 0.0000 -3.1925 4.7550" Properties=species:S:1:pos:R:3 pbc="T T T"
Al 0.0000 0.0000 0.0000
Cd 0.0000 0.0000 3.1948
Cd 0.0000 0.0000 10.2114
Pb 0.0000 0.0000 7.0618
O -1.8708 0.3613 6.0182
O -1.1293 -1.3368 8.5348
O 0.6225 -1.8008 6.0182
O -0.5931 1.6465 8.5348
O 1.2483 1.4395 6.0182
O 1.7224 -0.3096 8.5348
```

* total energy: -51.87 eV for the cell shown
* space-group type: R3
* raw formation energy: -1283 meV per atom